## ZrTcHg2 (GGA-PBEsol)

Data for ZrTcHg2 after structural relaxation.

Structure (CIF):
```
data_ZrTcHg2
_chemical_formula_sum 'Zr1 Tc1 Hg2'
_space_group_name_H-M_alt 'P 1'
_space_group_IT_number 1
_space_group_name_Hall 'P 1'
_cell_length_a 4.150
_cell_length_b 4.150
_cell_length_c 5.155
_cell_angle_alpha 113.73
_cell_angle_beta 113.73
_cell_angle_gamma 90.00
loop_
_atom_site_label
_atom_site_fract_x
_atom_site_fract_y
_atom_site_fract_z
Hg1 0.000 0.000 0.000
Hg2 0.750 0.250 0.500
Tc1 0.500 0.500 0.000
Zr1 0.250 0.750 0.500
```

Output
D(E_F): 3.256 states/eV per cell
V: 18.2 Å³ per atom
ρ: 13.433 g cm⁻³
Space-group type: No. 119
Total moment: 0.002 μB per formula unit
Formation energy: 0.092 eV/atom
ΔE to the lowest computed polymorph: 0.000 eV/atom

---

## Cu3Te2 (GGA-PBEsol)

Data for Cu3Te2 after structural relaxation.

Structure (CIF):
```
data_Cu3Te2
_chemical_formula_sum 'Cu3 Te2'
_space_group_name_H-M_alt 'P 1'
_space_group_IT_number 1
_space_group_name_Hall 'P 1'
_cell_length_a 3.920
_cell_length_b 3.920
_cell_length_c 7.034
_cell_angle_alpha 90.00
_cell_angle_beta 90.00
_cell_angle_gamma 120.00
loop_
_atom_site_label
_atom_site_fract_x
_atom_site_fract_y
_atom_site_fract_z
Te1 0.333 0.667 0.781
Te2 0.667 0.333 0.219
Cu1 0.000 0.000 0.000
Cu2 0.333 0.667 0.415
Cu3 0.667 0.333 0.585
```

Output
D(E_F): 1.724 states/eV per cell
V: 18.7 Å³ per atom
ρ: 7.909 g cm⁻³
Space-group type: No. 164
Total moment: 0.000 μB per formula unit
Energy relative to the elements, uncorrected: 41.4 meV per atom

---

## BaLiHg2 (GGA-PBEsol)

Data for BaLiHg2 after structural relaxation.

Structure (CIF):
```
data_BaLiHg2
_chemical_formula_sum 'Ba1 Li1 Hg2'
_space_group_name_H-M_alt 'P 1'
_space_group_IT_number 1
_space_group_name_Hall 'P 1'
_cell_length_a 3.822
_cell_length_b 3.820
_cell_length_c 7.333
_cell_angle_alpha 91.75
_cell_angle_beta 90.00
_cell_angle_gamma 90.00
loop_
_atom_site_label
_atom_site_fract_x
_atom_site_fract_y
_atom_site_fract_z
Ba1 0.500 0.500 0.000
Hg1 0.000 0.987 0.696
Hg2 0.000 0.013 0.304
Li1 0.500 0.500 0.500
```

Output
D(E_F): 2.324 states/eV per cell
V: 26.8 Å³ per atom
ρ: 8.463 g cm⁻³
Space-group type: No. 10
Total moment: 0.000 μB per formula unit
Formation energy: -0.411 eV/atom

---

## MgIrW2 (GGA-PBEsol)

Data for MgIrW2 after structural relaxation.

Structure (CIF):
```
data_MgIrW2
_chemical_formula_sum 'Mg1 Ir1 W2'
_space_group_name_H-M_alt 'P 1'
_space_group_IT_number 1
_space_group_name_Hall 'P 1'
_cell_length_a 2.747
_cell_length_b 2.747
_cell_length_c 8.399
_cell_angle_alpha 90.00
_cell_angle_beta 90.00
_cell_angle_gamma 90.00
loop_
_atom_site_label
_atom_site_fract_x
_atom_site_fract_y
_atom_site_fract_z
Ir1 0.500 0.500 0.000
Mg1 0.500 0.500 0.500
W1 0.000 0.000 0.769
W2 0.000 0.000 0.231
```

Output
D(E_F): 2.305 states/eV per cell
V: 15.8 Å³ per atom
ρ: 15.311 g cm⁻³
Space-group type: No. 123
Total moment: 0.000 μB per formula unit
Formation energy: 0.206 eV/atom

---

## Mo2IrRh (GGA-PBEsol)

Data for Mo2IrRh after structural relaxation.

Structure (CIF):
```
data_Mo2IrRh
_chemical_formula_sum 'Mo2 Ir1 Rh1'
_space_group_name_H-M_alt 'P 1'
_space_group_IT_number 1
_space_group_name_Hall 'P 1'
_cell_length_a 2.739
_cell_length_b 3.815
_cell_length_c 5.577
_cell_angle_alpha 90.00
_cell_angle_beta 90.00
_cell_angle_gamma 90.00
loop_
_atom_site_label
_atom_site_fract_x
_atom_site_fract_y
_atom_site_fract_z
Ir1 0.500 0.500 0.761
Mo1 0.000 0.000 0.981
Mo2 0.500 0.500 0.268
Rh1 0.000 0.000 0.491
```

Output
D(E_F): 3.424 states/eV per cell
V: 14.6 Å³ per atom
ρ: 13.875 g cm⁻³
Space-group type: No. 25
Total moment: 0.000 μB per formula unit
Formation energy: -0.104 eV/atom
ΔE to the lowest computed polymorph: 0.183 eV/atom

---

## V2GeC (GGA-PBEsol)

Data for V2GeC after structural relaxation.

Structure (CIF):
```
data_V2GeC
_chemical_formula_sum 'V4 Ge2 C2'
_space_group_name_H-M_alt 'P 1'
_space_group_IT_number 1
_space_group_name_Hall 'P 1'
_cell_length_a 2.973
_cell_length_b 2.973
_cell_length_c 12.057
_cell_angle_alpha 90.00
_cell_angle_beta 90.00
_cell_angle_gamma 120.00
loop_
_atom_site_label
_atom_site_fract_x
_atom_site_fract_y
_atom_site_fract_z
V1 0.667 0.333 0.912
V2 0.333 0.667 0.088
V3 0.333 0.667 0.412
V4 0.667 0.333 0.588
Ge1 0.667 0.333 0.250
Ge2 0.333 0.667 0.750
C1 0.000 0.000 0.000
C2 0.000 0.000 0.500
```

Output
D(E_F): 4.717 states/eV per cell
V: 11.5 Å³ per atom
ρ: 6.711 g cm⁻³
Space-group type: No. 194
Total moment: 0.000 μB per formula unit
Formation energy: -0.574 eV/atom

---

## Ta2Mn2O7 (GGA-PBEsol)

Data for Ta2Mn2O7 after structural relaxation.

Structure (CIF):
```
data_Ta2Mn2O7
_chemical_formula_sum 'Ta4 Mn4 O14'
_space_group_name_H-M_alt 'P 1'
_space_group_IT_number 1
_space_group_name_Hall 'P 1'
_cell_length_a 7.229
_cell_length_b 7.229
_cell_length_c 7.229
_cell_angle_alpha 60.00
_cell_angle_beta 60.00
_cell_angle_gamma 60.00
loop_
_atom_site_label
_atom_site_fract_x
_atom_site_fract_y
_atom_site_fract_z
Ta1 0.125 0.125 0.625
Ta2 0.125 0.625 0.125
Ta3 0.125 0.125 0.125
Ta4 0.625 0.125 0.125
Mn1 0.625 0.625 0.125
Mn2 0.625 0.125 0.625
Mn3 0.125 0.625 0.625
Mn4 0.625 0.625 0.625
O1 0.750 0.750 0.750
O2 0.500 0.500 0.500
O3 0.199 0.801 0.801
O4 0.801 0.199 0.801
O5 0.199 0.199 0.801
O6 0.199 0.801 0.199
O7 0.801 0.801 0.199
O8 0.449 0.051 0.051
O9 0.801 0.199 0.199
O10 0.449 0.051 0.449
O11 0.449 0.449 0.051
O12 0.051 0.051 0.449
O13 0.051 0.449 0.051
O14 0.051 0.449 0.449
```

Output
V: 12.1 Å³ per atom
ρ: 7.259 g cm⁻³
Space-group type: No. 227
Total moment: 10.000 μB per formula unit
Energy relative to the elements, uncorrected: -2168.4 meV per atom

---

## LiCu2Pt (GGA-PBEsol)

Data for LiCu2Pt after structural relaxation.

Structure (CIF):
```
data_LiCu2Pt
_chemical_formula_sum 'Li1 Cu2 Pt1'
_space_group_name_H-M_alt 'P 1'
_space_group_IT_number 1
_space_group_name_Hall 'P 1'
_cell_length_a 3.704
_cell_length_b 3.704
_cell_length_c 4.454
_cell_angle_alpha 114.58
_cell_angle_beta 114.58
_cell_angle_gamma 90.00
loop_
_atom_site_label
_atom_site_fract_x
_atom_site_fract_y
_atom_site_fract_z
Pt1 0.000 0.000 0.000
Cu1 0.750 0.250 0.500
Cu2 0.250 0.750 0.500
Li1 0.500 0.500 0.000
```

Output
D(E_F): 1.530 states/eV per cell
V: 12.4 Å³ per atom
ρ: 11.057 g cm⁻³
Space-group type: No. 139
Total moment: 0.000 μB per formula unit
Formation energy: -0.211 eV/atom
ΔE to the lowest computed polymorph: 0.032 eV/atom

---

## KSb3P (GGA-PBEsol)

Data for KSb3P after structural relaxation.

Structure (CIF):
```
data_KSb3P
_chemical_formula_sum 'K1 Sb3 P1'
_space_group_name_H-M_alt 'P 1'
_space_group_IT_number 1
_space_group_name_Hall 'P 1'
_cell_length_a 5.579
_cell_length_b 5.579
_cell_length_c 5.579
_cell_angle_alpha 90.00
_cell_angle_beta 90.00
_cell_angle_gamma 90.00
loop_
_atom_site_label
_atom_site_fract_x
_atom_site_fract_y
_atom_site_fract_z
Sb1 0.000 0.500 0.000
Sb2 0.000 0.000 0.500
Sb3 0.500 0.000 0.000
K1 0.000 0.000 0.000
P1 0.500 0.500 0.500
```

Output
D(E_F): 8.771 states/eV per cell
V: 34.7 Å³ per atom
ρ: 4.163 g cm⁻³
Space-group type: No. 221
Total moment: 0.172 μB per formula unit
Energy relative to the elements, uncorrected: 1834.1 meV per atom

---

## CrNi2Ir (GGA-PBEsol)

Data for CrNi2Ir after structural relaxation.

Structure (CIF):
```
data_CrNi2Ir
_chemical_formula_sum 'Cr1 Ni2 Ir1'
_space_group_name_H-M_alt 'P 1'
_space_group_IT_number 1
_space_group_name_Hall 'P 1'
_cell_length_a 3.588
_cell_length_b 3.588
_cell_length_c 4.386
_cell_angle_alpha 114.14
_cell_angle_beta 114.14
_cell_angle_gamma 90.00
loop_
_atom_site_label
_atom_site_fract_x
_atom_site_fract_y
_atom_site_fract_z
Ni1 0.500 0.500 0.000
Ni2 0.750 0.250 0.500
Ir1 0.250 0.750 0.500
Cr1 0.000 0.000 0.000
```

Output
D(E_F): 4.485 states/eV per cell
V: 11.5 Å³ per atom
ρ: 13.034 g cm⁻³
Space-group type: No. 119
Total moment: 0.646 μB per formula unit
Formation energy: -0.104 eV/atom

---

## Cs8Na4Y3HoCl24 (GGA-PBEsol)

Data for Cs8Na4Y3HoCl24 after structural relaxation.

Structure (CIF):
```
data_Cs8Na4Y3HoCl24
_chemical_formula_sum 'Cs8 Na4 Y3 Ho1 Cl24'
_space_group_name_H-M_alt 'P 1'
_space_group_IT_number 1
_space_group_name_Hall 'P 1'
_cell_length_a 7.526
_cell_length_b 7.526
_cell_length_c 21.288
_cell_angle_alpha 90.00
_cell_angle_beta 90.00
_cell_angle_gamma 90.00
loop_
_atom_site_label
_atom_site_fract_x
_atom_site_fract_y
_atom_site_fract_z
Cs1 0.000 0.500 0.375
Cs2 0.500 0.000 0.125
Cs3 0.000 0.500 0.875
Cs4 0.500 0.000 0.625
Cs5 0.000 0.500 0.125
Cs6 0.500 0.000 0.875
Cs7 0.000 0.500 0.625
Cs8 0.500 0.000 0.375
Na1 0.000 0.000 0.250
Na2 0.500 0.500 0.000
Na3 0.000 0.000 0.750
Na4 0.500 0.500 0.500
Y1 0.500 0.500 0.750
Y2 0.000 0.000 0.500
Y3 0.500 0.500 0.250
Ho1 0.000 0.000 0.000
Cl1 0.000 0.000 0.378
Cl2 0.500 0.500 0.128
Cl3 0.000 0.000 0.878
Cl4 0.500 0.500 0.628
Cl5 0.256 0.744 0.250
Cl6 0.757 0.243 0.000
Cl7 0.256 0.744 0.750
Cl8 0.756 0.244 0.500
Cl9 0.744 0.744 0.250
Cl10 0.243 0.243 0.000
Cl11 0.744 0.744 0.750
Cl12 0.244 0.244 0.500
Cl13 0.000 0.000 0.122
Cl14 0.500 0.500 0.872
Cl15 0.000 0.000 0.622
Cl16 0.500 0.500 0.372
Cl17 0.744 0.256 0.250
Cl18 0.243 0.757 0.000
Cl19 0.744 0.256 0.750
Cl20 0.244 0.756 0.500
Cl21 0.256 0.256 0.250
Cl22 0.757 0.757 0.000
Cl23 0.256 0.256 0.750
Cl24 0.756 0.756 0.500
```

Output
D(E_F): 0.000 states/eV per cell
V: 30.1 Å³ per atom
ρ: 3.357 g cm⁻³
Space-group type: No. 123
Total moment: 0.001 μB per formula unit
Energy relative to the elements, uncorrected: -2140.8 meV per atom

---

## Li2IrRh (GGA-PBEsol)

Data for Li2IrRh after structural relaxation.

Structure (CIF):
```
data_Li2IrRh
_chemical_formula_sum 'Li2 Ir1 Rh1'
_space_group_name_H-M_alt 'P 1'
_space_group_IT_number 1
_space_group_name_Hall 'P 1'
_cell_length_a 4.161
_cell_length_b 4.164
_cell_length_c 4.161
_cell_angle_alpha 60.02
_cell_angle_beta 90.00
_cell_angle_gamma 119.98
loop_
_atom_site_label
_atom_site_fract_x
_atom_site_fract_y
_atom_site_fract_z
Ir1 0.750 0.500 0.750
Li1 0.000 0.000 0.000
Li2 0.250 0.500 0.250
Rh1 0.500 0.000 0.500
```

Output
D(E_F): 3.655 states/eV per cell
V: 12.8 Å³ per atom
ρ: 10.056 g cm⁻³
Space-group type: No. 216
Total moment: 0.001 μB per formula unit
Formation energy: -0.017 eV/atom
ΔE to the lowest computed polymorph: 0.148 eV/atom